BaLi2Fe | PBE | optimized geometry

Summary:
* density: 3.88 Mg/m³
* total DFT energy (no corrections): -2.746 eV/atom
* energy above the lowest structure with this stoichiometry: 357 meV/atom
* ΔH_f (0 K): 77.9 kJ per mole of atoms

Lattice parameters (Å, degrees): 7.077 7.077 7.077 90.00 90.00 90.00
Space group Fm-3m (No. 225)
One atom of each set of equivalent atoms:
Ba1 0.000 0.000 0.000
Li1 0.250 0.250 0.250
Fe1 0.000 0.000 0.500